This record from the Alexandria database describes crystalline MnAl2Rh at its relaxed geometry. The functional is PBE.

The raw total energy comes out at -6.090 eV/atom. As for the symmetry: I-42d.

Unit cell a=6.750 b=6.750 c=5.493 alpha=52.09 beta=52.09 gamma=90.00
Fractional positions:
Rh1 0.750 0.250 0.500
Rh2 0.000 0.000 0.000
Al1 0.636 0.125 0.250
Al2 0.114 0.625 0.250
Al3 0.875 0.886 0.750
Al4 0.375 0.364 0.750
Mn1 0.250 0.750 0.500
Mn2 0.500 0.500 0.000

=====

This record from the Alexandria database describes crystalline Mn2CrSb at its relaxed geometry. The functional is PBE.

The raw total energy comes out at -7.802 eV/atom. As for the symmetry: I-4m2.

Unit cell a=4.570 b=4.570 c=3.908 alpha=64.67 beta=64.67 gamma=50.64
Fractional positions:
Cr1 0.250 0.250 0.250
Mn1 0.000 0.000 0.000
Mn2 0.750 0.750 0.750
Sb1 0.500 0.500 0.500

=====

This record from the Alexandria database describes crystalline KVAgSe4 at its relaxed geometry. The functional is PBE.

The raw total energy comes out at -4.427 eV/atom. As for the symmetry: P2_1/m.

Unit cell a=5.988 b=7.319 c=9.744 alpha=90.00 beta=106.73 gamma=90.00
Fractional positions:
Se1 0.736 0.250 0.942
Se2 0.063 0.514 0.734
Se3 0.063 0.986 0.734
Se4 0.561 0.250 0.525
Se5 0.439 0.750 0.475
Se6 0.264 0.750 0.058
Se7 0.937 0.486 0.266
Se8 0.937 0.014 0.266
Ag1 0.648 0.750 0.276
Ag2 0.352 0.250 0.724
K1 0.652 0.750 0.862
K2 0.348 0.250 0.138
V1 0.858 0.250 0.735
V2 0.142 0.750 0.265

=====

This record from the Alexandria database describes crystalline Ho2Tm2Zn at its relaxed geometry. The functional is PBE.

The offset from the most stable computed form comes out at 0 meV per atom. The raw total energy comes out at -3.998 eV/atom. As for the symmetry: I4/mmm.

Unit cell a=3.505 b=3.505 c=11.351 alpha=98.88 beta=98.88 gamma=90.00
Fractional positions:
Ho1 0.194 0.194 0.389
Ho2 0.806 0.806 0.611
Tm1 0.579 0.579 0.159
Tm2 0.421 0.421 0.841
Zn1 0.000 0.000 0.000

=====

This record from the Alexandria database describes crystalline BeRu at its relaxed geometry. The functional is PBE.

The raw total energy comes out at -5.164 eV/atom. As for the symmetry: I-43m.

Unit cell a=6.847 b=6.847 c=6.847 alpha=90.00 beta=90.00 gamma=90.00
Fractional positions:
Be1 0.676 0.676 0.676
Be2 0.324 0.676 0.324
Be3 0.176 0.824 0.824
Be4 0.176 0.176 0.176
Be5 0.676 0.324 0.324
Be6 0.824 0.176 0.824
Be7 0.324 0.324 0.676
Be8 0.824 0.824 0.176
Ru1 0.360 0.360 0.360
Ru2 0.860 0.140 0.140
Ru3 0.360 0.640 0.640
Ru4 0.640 0.640 0.360
Ru5 0.140 0.860 0.140
Ru6 0.860 0.860 0.860
Ru7 0.140 0.140 0.860
Ru8 0.640 0.360 0.640

=====

This record from the Alexandria database describes crystalline Y4Ni3Au at its relaxed geometry. The functional is PBE.

The raw total energy comes out at -6.334 eV/atom. As for the symmetry: Pmm2.

Unit cell a=3.734 b=4.437 c=10.307 alpha=90.00 beta=90.00 gamma=90.00
Fractional positions:
Ni1 0.000 0.500 0.573
Ni2 0.500 0.000 0.918
Ni3 0.000 0.000 0.429
Au1 0.500 0.500 0.077
Y1 0.000 0.500 0.849
Y2 0.500 0.000 0.638
Y3 0.500 0.500 0.372
Y4 0.000 0.000 0.145

=====

This record from the Alexandria database describes crystalline Sc5Zn3 at its relaxed geometry. The functional is PBE.

The offset from the most stable computed form comes out at 63 meV per atom. The raw total energy comes out at -4.632 eV/atom. As for the symmetry: Cmmm.

Unit cell a=5.995 b=5.995 c=4.604 alpha=90.00 beta=90.00 gamma=79.06
Fractional positions:
Zn1 0.779 0.779 0.500
Zn2 0.500 0.500 0.000
Zn3 0.221 0.221 0.500
Sc1 0.000 0.000 0.000
Sc2 0.718 0.282 0.500
Sc3 0.000 0.500 0.000
Sc4 0.282 0.718 0.500
Sc5 0.500 0.000 0.000

=====

This record from the Alexandria database describes crystalline TcHg at its relaxed geometry. The functional is PBE.

The offset from the most stable computed form comes out at 562 meV per atom. The raw total energy comes out at -4.529 eV/atom. As for the symmetry: Fd-3m.

Unit cell a=4.641 b=4.641 c=4.641 alpha=60.00 beta=60.00 gamma=60.00
Fractional positions:
Hg1 0.250 0.250 0.250
Hg2 0.000 0.000 0.000
Tc1 0.500 0.500 0.500
Tc2 0.750 0.750 0.750

=====

This record from the Alexandria database describes crystalline Al2SbRu2 at its relaxed geometry. The functional is PBE.

The raw total energy comes out at -6.308 eV/atom. As for the symmetry: P4/mbm.

Unit cell a=7.168 b=7.168 c=3.119 alpha=90.00 beta=90.00 gamma=90.00
Fractional positions:
Ru1 0.157 0.343 0.000
Ru2 0.657 0.157 0.000
Ru3 0.343 0.843 0.000
Ru4 0.843 0.657 0.000
Al1 0.637 0.863 0.500
Al2 0.363 0.137 0.500
Al3 0.863 0.363 0.500
Al4 0.137 0.637 0.500
Sb1 0.500 0.500 0.000
Sb2 0.000 0.000 0.000

=====

This record from the Alexandria database describes crystalline CrNiW at its relaxed geometry. The functional is PBE.

The offset from the most stable computed form comes out at 35 meV per atom. The raw total energy comes out at -9.287 eV/atom. As for the symmetry: I4mm.

Unit cell a=6.135 b=6.135 c=6.135 alpha=155.68 beta=155.68 gamma=34.66
Fractional positions:
Ni1 0.341 0.341 0.000
Cr1 0.987 0.987 0.000
W1 0.671 0.671 0.000

=====

This record from the Alexandria database describes crystalline GeB2Pd8 at its relaxed geometry. The functional is PBE.

The raw total energy comes out at -5.658 eV/atom. As for the symmetry: C2/m.

Unit cell a=4.286 b=5.855 c=7.461 alpha=119.56 beta=106.69 gamma=90.00
Fractional positions:
Pd1 0.039 0.785 0.078
Pd2 0.704 0.064 0.407
Pd3 0.602 0.511 0.204
Pd4 0.181 0.337 0.362
Pd5 0.398 0.489 0.796
Pd6 0.819 0.663 0.638
Pd7 0.296 0.936 0.593
Pd8 0.961 0.215 0.922
B1 0.138 0.618 0.275
B2 0.862 0.382 0.725
Ge1 0.500 0.000 0.000

=====

This record from the Alexandria database describes crystalline SrLiY2In4 at its relaxed geometry. The functional is PBE.

The raw total energy comes out at -3.799 eV/atom. As for the symmetry: R-3m.

Unit cell a=5.312 b=5.312 c=9.447 alpha=73.67 beta=73.67 gamma=60.00
Fractional positions:
In1 0.872 0.872 0.383
In2 0.617 0.617 0.149
In3 0.128 0.128 0.617
In4 0.383 0.383 0.851
Y1 0.245 0.245 0.264
Y2 0.755 0.755 0.736
Li1 0.500 0.500 0.500
Sr1 0.000 0.000 0.000

=====

This record from the Alexandria database describes crystalline BaCdPt at its relaxed geometry. The functional is PBE.

The raw total energy comes out at -2.933 eV/atom. As for the symmetry: F-43m.

Unit cell a=5.335 b=5.335 c=5.335 alpha=60.00 beta=60.00 gamma=60.00
Fractional positions:
Pt1 0.500 0.500 0.500
Ba1 0.750 0.750 0.750
Cd1 0.000 0.000 0.000

=====

This record from the Alexandria database describes crystalline BaReSb2 at its relaxed geometry. The functional is PBE.

The offset from the most stable computed form comes out at 298 meV per atom. The raw total energy comes out at -5.417 eV/atom. As for the symmetry: P2/m.

Unit cell a=4.518 b=3.360 c=7.154 alpha=89.69 beta=90.00 gamma=90.00
Fractional positions:
Sb1 0.000 0.756 0.958
Sb2 0.000 0.744 0.542
Re1 0.500 0.750 0.750
Ba1 0.500 0.250 0.250

=====

This record from the Alexandria database describes crystalline CaNi3 at its relaxed geometry. The functional is PBE.

The raw total energy comes out at -4.754 eV/atom. As for the symmetry: Cmcm.

Unit cell a=5.899 b=5.899 c=4.153 alpha=90.00 beta=90.00 gamma=119.69
Fractional positions:
Ni1 0.863 0.137 0.250
Ni2 0.866 0.730 0.250
Ni3 0.270 0.134 0.250
Ni4 0.137 0.863 0.750
Ni5 0.134 0.270 0.750
Ni6 0.730 0.866 0.750
Ca1 0.334 0.666 0.250
Ca2 0.666 0.334 0.750

=====

This record from the Alexandria database describes crystalline Pm3P2H at its relaxed geometry. The functional is PBE.

The offset from the most stable computed form comes out at 0 meV per atom. The raw total energy comes out at -5.929 eV/atom. As for the symmetry: Pnma.

Unit cell a=4.078 b=8.025 c=15.886 alpha=90.00 beta=90.00 gamma=90.00
Fractional positions:
P1 0.250 0.396 0.216
P2 0.750 0.759 0.037
P3 0.250 0.896 0.284
P4 0.750 0.604 0.784
P5 0.750 0.104 0.716
P6 0.750 0.259 0.463
P7 0.250 0.241 0.963
P8 0.250 0.741 0.537
Pm1 0.750 0.170 0.279
Pm2 0.750 0.513 0.600
Pm3 0.250 0.987 0.100
Pm4 0.250 0.830 0.721
Pm5 0.750 0.872 0.430
Pm6 0.250 0.628 0.930
Pm7 0.750 0.372 0.070
Pm8 0.250 0.128 0.570
Pm9 0.750 0.013 0.900
Pm10 0.250 0.330 0.779
Pm11 0.250 0.487 0.400
Pm12 0.750 0.670 0.221
H1 0.750 0.115 0.134
H2 0.250 0.385 0.634
H3 0.750 0.615 0.366
H4 0.250 0.885 0.866

=====

This record from the Alexandria database describes crystalline PmTh2Sb2Te2 at its relaxed geometry. The functional is PBE.

The raw total energy comes out at -5.449 eV/atom. As for the symmetry: I4/mmm.

Unit cell a=5.806 b=5.806 c=8.868 alpha=109.11 beta=109.11 gamma=90.00
Fractional positions:
Te1 0.804 0.804 0.607
Te2 0.196 0.196 0.393
Th1 0.389 0.389 0.778
Th2 0.611 0.611 0.222
Sb1 0.500 0.000 0.000
Sb2 0.000 0.500 0.000
Pm1 0.000 0.000 0.000

=====

This record from the Alexandria database describes crystalline Cd3HO at its relaxed geometry. The functional is PBE.

The offset from the most stable computed form comes out at 0 meV per atom. The raw total energy comes out at -1.907 eV/atom. As for the symmetry: Pm-3m.

Unit cell a=4.644 b=4.644 c=4.644 alpha=90.00 beta=90.00 gamma=90.00
Fractional positions:
Cd1 0.500 0.000 0.000
Cd2 0.000 0.000 0.500
Cd3 0.000 0.500 0.000
O1 0.000 0.000 0.000
H1 0.500 0.500 0.500

=====

This record from the Alexandria database describes crystalline SrHf2Co2 at its relaxed geometry. The functional is PBE.

The offset from the most stable computed form comes out at 0 meV per atom. The raw total energy comes out at -7.216 eV/atom. As for the symmetry: I4/mmm.

Unit cell a=4.373 b=4.373 c=6.256 alpha=69.54 beta=69.54 gamma=90.00
Fractional positions:
Sr1 0.000 0.000 0.000
Hf1 0.250 0.750 0.500
Hf2 0.750 0.250 0.500
Co1 0.617 0.617 0.766
Co2 0.383 0.383 0.234

=====

This record from the Alexandria database describes crystalline SrNiPt2 at its relaxed geometry. The functional is PBE.

The raw total energy comes out at -5.378 eV/atom. As for the symmetry: Cm.

Unit cell a=4.440 b=4.440 c=5.764 alpha=67.25 beta=67.25 gamma=60.02
Fractional positions:
Pt1 0.999 0.999 0.004
Pt2 0.314 0.314 0.058
Ni1 0.684 0.684 0.948
Sr1 0.503 0.503 0.490

=====

This record from the Alexandria database describes crystalline Ge2OsAu at its relaxed geometry. The functional is PBE.

The offset from the most stable computed form comes out at 0 meV per atom. The raw total energy comes out at -5.883 eV/atom. As for the symmetry: R-3m.

Unit cell a=3.061 b=3.061 c=8.895 alpha=80.09 beta=80.09 gamma=60.00
Fractional positions:
Os1 0.500 0.500 0.500
Au1 0.000 0.000 0.000
Ge1 0.096 0.096 0.711
Ge2 0.904 0.904 0.289

=====

This record from the Alexandria database describes crystalline YHf2ReI at its relaxed geometry. The functional is PBE.

The raw total energy comes out at -5.686 eV/atom. As for the symmetry: P4/mmm.

Unit cell a=5.133 b=5.279 c=5.133 alpha=90.00 beta=90.00 gamma=90.00
Fractional positions:
Re1 0.500 0.500 0.500
Hf1 0.500 0.000 0.000
Hf2 0.000 0.000 0.500
Y1 0.000 0.000 0.000
I1 0.000 0.500 0.000

=====

This record from the Alexandria database describes crystalline Zr2TaS4 at its relaxed geometry. The functional is PBE.

The raw total energy comes out at -7.794 eV/atom. As for the symmetry: C2/m.

Unit cell a=3.374 b=6.250 c=7.257 alpha=114.66 beta=103.44 gamma=90.00
Fractional positions:
S1 0.618 0.294 0.236
S2 0.118 0.802 0.236
S3 0.382 0.706 0.764
S4 0.882 0.198 0.764
Zr1 0.744 0.754 0.489
Zr2 0.256 0.246 0.511
Ta1 0.000 0.000 0.000

=====

This record from the Alexandria database describes crystalline CaBe2Re2 at its relaxed geometry. The functional is PBE.

The raw total energy comes out at -6.455 eV/atom. As for the symmetry: P4/mbm.

Unit cell a=6.583 b=6.583 c=3.171 alpha=90.00 beta=90.00 gamma=90.00
Fractional positions:
Be1 0.616 0.116 0.000
Be2 0.384 0.884 0.000
Be3 0.884 0.616 0.000
Be4 0.116 0.384 0.000
Ca1 0.500 0.500 0.000
Ca2 0.000 0.000 0.000
Re1 0.341 0.159 0.500
Re2 0.841 0.341 0.500
Re3 0.659 0.841 0.500
Re4 0.159 0.659 0.500

=====

This record from the Alexandria database describes crystalline HgSb2IF at its relaxed geometry. The functional is PBE.

The offset from the most stable computed form comes out at 497 meV per atom. The raw total energy comes out at -1.936 eV/atom. As for the symmetry: P4/mmm.

Unit cell a=5.593 b=5.593 c=5.829 alpha=90.00 beta=90.00 gamma=90.00
Fractional positions:
F1 0.500 0.500 0.500
Hg1 0.000 0.000 0.000
I1 0.000 0.000 0.500
Sb1 0.500 0.000 0.000
Sb2 0.000 0.500 0.000